Entry 1:
Material: La4RuRh
Method: DFT, PBE
State: relaxed

Lattice parameters (Å, degrees): 7.086 7.095 8.858 106.89 106.85 105.97
Atoms (fractional coordinates):
1 La 0.452 0.698 0.898
2 La 0.946 0.200 0.898
3 La 0.054 0.800 0.102
4 La 0.201 0.460 0.397
5 La 0.696 0.937 0.397
6 La 0.548 0.302 0.102
7 La 0.799 0.540 0.603
8 La 0.304 0.063 0.603
9 Ru 0.342 0.592 0.184
10 Ru 0.658 0.408 0.816
11 Rh 0.164 0.914 0.828
12 Rh 0.836 0.086 0.172

Values from the calculation:
* SG: C2/c (15)
* total magnetization: 0.00 Bohr magnetons per cell
* theoretical density: 6.72 g/cm3
* formation energy: -0.416 eV per atom

---

Entry 2:
Material: La3RuRh
Method: DFT, PBE
State: relaxed

Lattice parameters (Å, degrees): 5.370 5.370 5.370 90.00 90.00 90.00
Atoms (fractional coordinates):
1 La 0.500 0.000 0.000
2 La 0.000 0.500 0.000
3 La 0.000 0.000 0.500
4 Rh 0.500 0.500 0.500
5 Ru 0.000 0.000 0.000

Values from the calculation:
* SG: Pm-3m (221)
* total magnetization: 0.00 Bohr magnetons per cell
* theoretical density: 6.66 g/cm3
* formation energy: 0.015 eV per atom

---

Entry 3:
Material: LaRu2Rh
Method: DFT, PBE
State: relaxed

Lattice parameters (Å, degrees): 4.067 4.067 10.204 78.51 78.51 90.00
Last column: magnetic moment on the atom in μB.
Atoms (fractional coordinates):
1 Ru 0.375 0.469 0.750  0.47
2 Ru 0.219 0.625 0.250  0.47
3 Ru 0.531 0.125 0.250  0.47
4 Ru 0.875 0.781 0.750  0.47
5 La 0.000 0.000 0.000  0.04
6 La 0.750 0.250 0.500  0.04
7 Rh 0.500 0.500 0.000  0.11
8 Rh 0.250 0.750 0.500  0.11

Values from the calculation:
* SG: I-42d (122)
* total magnetization: 2.32 Bohr magnetons per cell
* theoretical density: 9.11 g/cm3
* formation energy: 0.264 eV per atom

---

Entry 4:
Material: LaRu2Rh
Method: DFT, PBE
State: relaxed

Lattice parameters (Å, degrees): 3.069 4.756 4.884 90.00 90.00 90.00
Last column: magnetic moment on the atom in μB.
Atoms (fractional coordinates):
1 La 0.500 0.000 0.500  -0.03
2 Ru 0.500 0.500 0.000  0.75
3 Ru 0.000 0.000 0.000  0.55
4 Rh 0.000 0.500 0.500  0.19

Values from the calculation:
* SG: Pmmm (47)
* total magnetization: 1.48 Bohr magnetons per cell
* theoretical density: 10.34 g/cm3
* formation energy: 0.242 eV per atom

---

Entry 5:
Material: La2RuRh
Method: DFT, PBE
State: relaxed

Lattice parameters (Å, degrees): 3.600 5.044 5.044 90.00 90.00 90.00
Atoms (fractional coordinates):
1 La 0.000 0.500 0.000
2 La 0.000 0.000 0.500
3 Ru 0.500 0.000 0.000
4 Rh 0.500 0.500 0.500

Values from the calculation:
* SG: P4/mmm (123)
* total magnetization: 0.00 Bohr magnetons per cell
* theoretical density: 8.74 g/cm3
* formation energy: -0.364 eV per atom

---

Entry 6:
Material: LaRu3Rh
Method: DFT, PBE
State: relaxed

Lattice parameters (Å, degrees): 4.739 4.739 4.739 90.00 90.00 90.00
Last column: magnetic moment on the atom in μB.
Atoms (fractional coordinates):
1 Ru 0.000 0.000 0.500  0.52
2 Ru 0.000 0.500 0.000  0.46
3 Ru 0.500 0.000 0.000  0.34
4 Rh 0.000 0.000 0.000  0.09
5 La 0.500 0.500 0.500  -0.04

Values from the calculation:
* SG: Pm-3m (221)
* total magnetization: 1.35 Bohr magnetons per cell
* theoretical density: 8.51 g/cm3
* formation energy: 0.923 eV per atom

---

Question: What is the formation energy in the sixth record?
Answer: 0.923 eV per atom

---

Question: Which value of total magnetization does entry 6 give?
Answer: 1.35 Bohr magnetons per cell

---

Question: The lowest formation energy belongs to which entry?
Answer: La4RuRh

---

Question: What is the formation energy in the sixth record?
Answer: 0.923 eV per atom